Record 1
Compound: ZrFe2BC
Source: Alexandria
Functional: PBE
Structure: optimized geometry

Calculated values
As for the space group: Cmcm, No. 63. The raw total energy comes out at -87.00 eV for the cell shown. The calculation puts the density of states at the Fermi level at 7.91 states/eV per cell.

Cell: 5.246 5.246 6.454 Å, 90.00 90.00 142.81°
Atoms (fractional coordinates):
Zr (0.048, 0.952, 0.750)
Zr (0.952, 0.048, 0.250)
Fe (0.324, 0.676, 0.564)
Fe (0.324, 0.676, 0.936)
Fe (0.676, 0.324, 0.064)
Fe (0.676, 0.324, 0.436)
B (0.234, 0.766, 0.250)
B (0.766, 0.234, 0.750)
C (0.500, 0.500, 0.000)
C (0.500, 0.500, 0.500)

Record 2
Compound: CeSmSc2Tl4
Source: Alexandria
Functional: PBE
Structure: optimized geometry

Calculated values
As for the space group: R-3m, No. 166. The raw total energy comes out at -34.95 eV for the cell shown. The calculation puts the density of states at the Fermi level at 11.95 states/eV per cell.

Cell: 9.222 9.222 9.222 Å, 33.41 33.41 33.41°
Atoms (fractional coordinates):
Ce (0.000, 0.000, 0.000)
Sm (0.500, 0.500, 0.500)
Sc (0.250, 0.250, 0.250)
Sc (0.750, 0.750, 0.750)
Tl (0.125, 0.125, 0.125)
Tl (0.376, 0.376, 0.376)
Tl (0.624, 0.624, 0.624)
Tl (0.875, 0.875, 0.875)

Record 3
Compound: Ac5I2O12
Source: Alexandria
Functional: PBE
Structure: optimized geometry

Calculated values
As for the space group: C2/m, No. 12. The raw total energy comes out at -126.71 eV for the cell shown. The calculation puts the density of states at the Fermi level at 3.30 states/eV per cell.

Cell: 7.523 7.523 8.053 Å, 105.39 105.39 52.84°
Atoms (fractional coordinates):
Ac (0.000, 0.000, 0.000)
Ac (0.304, 0.304, 0.138)
Ac (0.305, 0.305, 0.669)
Ac (0.695, 0.695, 0.331)
Ac (0.696, 0.696, 0.862)
I (0.245, 0.755, 0.500)
I (0.755, 0.245, 0.500)
O (0.002, 0.002, 0.675)
O (0.092, 0.598, 0.923)
O (0.106, 0.569, 0.419)
O (0.402, 0.908, 0.077)
O (0.431, 0.894, 0.581)
O (0.498, 0.498, 0.681)
O (0.502, 0.502, 0.319)
O (0.569, 0.106, 0.419)
O (0.598, 0.092, 0.923)
O (0.894, 0.431, 0.581)
O (0.908, 0.402, 0.077)
O (0.998, 0.998, 0.325)

Record 4
Compound: LiBiS2
Source: Alexandria
Functional: PBE
Structure: optimized geometry

Calculated values
As for the space group: P4/mmm, No. 123. The raw total energy comes out at -16.73 eV for the cell shown. The calculation puts the density of states at the Fermi level at 0.00 states/eV per cell.

Cell: 4.004 4.004 5.447 Å, 90.00 90.00 90.00°
Atoms (fractional coordinates):
Li (0.000, 0.000, 0.000)
Bi (0.500, 0.500, 0.500)
S (0.000, 0.000, 0.500)
S (0.500, 0.500, 0.000)

Record 5
Compound: BaRe2P
Source: Alexandria
Functional: PBE
Structure: optimized geometry

Calculated values
As for the space group: P2/m, No. 10. The raw total energy comes out at -28.46 eV for the cell shown. The calculation puts the density of states at the Fermi level at 3.13 states/eV per cell.

Cell: 3.035 4.560 6.236 Å, 90.00 90.10 90.00°
Atoms (fractional coordinates):
Ba (0.000, 0.000, 0.000)
Re (0.499, 0.500, 0.320)
Re (0.501, 0.500, 0.680)
P (0.500, 0.000, 0.500)

Record 6
Compound: Ta2CdAs
Source: Alexandria
Functional: PBE
Structure: optimized geometry

Calculated values
As for the space group: P2/m, No. 10. The raw total energy comes out at -28.73 eV for the cell shown. The calculation puts the density of states at the Fermi level at 1.58 states/eV per cell.

Cell: 2.934 4.426 5.863 Å, 90.00 103.96 90.00°
Atoms (fractional coordinates):
Ta (0.201, 0.000, 0.262)
Ta (0.799, 0.000, 0.738)
Cd (0.500, 0.500, 0.000)
As (0.500, 0.500, 0.500)

Record 7
Compound: Ti2BiSe2
Source: Alexandria
Functional: PBE
Structure: optimized geometry

Calculated values
As for the space group: I4/mmm, No. 139. The raw total energy comes out at -57.37 eV for the cell shown. The calculation puts the density of states at the Fermi level at 3.51 states/eV per cell.

Cell: 4.252 4.252 12.073 Å, 90.00 90.00 90.00°
Atoms (fractional coordinates):
Ti (0.000, 0.000, 0.126)
Ti (0.000, 0.000, 0.874)
Ti (0.500, 0.500, 0.374)
Ti (0.500, 0.500, 0.626)
Bi (0.000, 0.000, 0.500)
Bi (0.500, 0.500, 0.000)
Se (0.000, 0.500, 0.250)
Se (0.000, 0.500, 0.750)
Se (0.500, 0.000, 0.250)
Se (0.500, 0.000, 0.750)

Record 8
Compound: Nd8Os2Pd
Source: Alexandria
Functional: PBE
Structure: optimized geometry

Calculated values
As for the space group: Cm, No. 8. The raw total energy comes out at -67.12 eV for the cell shown. The calculation puts the density of states at the Fermi level at 11.14 states/eV per cell.

Cell: 7.758 7.758 6.261 Å, 100.43 100.43 112.92°
Atoms (fractional coordinates):
Nd (0.000, 0.000, 0.000)
Nd (0.022, 0.287, 0.596)
Nd (0.150, 0.584, 0.195)
Nd (0.287, 0.022, 0.596)
Nd (0.442, 0.707, 0.801)
Nd (0.584, 0.150, 0.195)
Nd (0.707, 0.442, 0.801)
Nd (0.730, 0.730, 0.394)
Os (0.053, 0.674, 0.698)
Os (0.674, 0.053, 0.698)
Pd (0.363, 0.363, 0.038)

Record 9
Compound: DyTmMg5
Source: Alexandria
Functional: PBE
Structure: optimized geometry

Calculated values
As for the space group: C2/m, No. 12. The raw total energy comes out at -32.53 eV for the cell shown. The calculation puts the density of states at the Fermi level at 9.02 states/eV per cell.

Cell: 6.320 9.734 6.528 Å, 90.00 110.16 90.00°
Atoms (fractional coordinates):
Dy (0.000, 0.000, 0.000)
Dy (0.500, 0.500, 0.000)
Tm (0.000, 0.500, 0.500)
Tm (0.500, 0.000, 0.500)
Mg (0.000, 0.000, 0.500)
Mg (0.205, 0.287, 0.227)
Mg (0.205, 0.713, 0.227)
Mg (0.295, 0.213, 0.773)
Mg (0.295, 0.787, 0.773)
Mg (0.500, 0.500, 0.500)
Mg (0.705, 0.213, 0.227)
Mg (0.705, 0.787, 0.227)
Mg (0.795, 0.287, 0.773)
Mg (0.795, 0.713, 0.773)

Record 10
Compound: BaCe2UO8
Source: Alexandria
Functional: PBE
Structure: optimized geometry

Calculated values
As for the space group: P2/m, No. 10. The raw total energy comes out at -102.84 eV for the cell shown.

Cell: 4.138 7.570 5.565 Å, 90.00 90.06 90.00°
Atoms (fractional coordinates):
Ba (0.000, 0.000, 0.000)
Ce (0.500, 0.251, 0.500)
Ce (0.500, 0.749, 0.500)
U (0.000, 0.500, 0.000)
O (0.000, 0.294, 0.251)
O (0.000, 0.294, 0.749)
O (0.000, 0.706, 0.251)
O (0.000, 0.706, 0.749)
O (0.500, 0.000, 0.283)
O (0.500, 0.000, 0.717)
O (0.500, 0.500, 0.233)
O (0.500, 0.500, 0.767)

Record 11
Compound: SiIO2
Source: Alexandria
Functional: PBE
Structure: optimized geometry

Calculated values
As for the space group: Fm-3m, No. 225. The raw total energy comes out at -56.32 eV for the cell shown. The calculation puts the density of states at the Fermi level at 12.25 states/eV per cell.

Cell: 6.046 6.046 6.046 Å, 90.00 90.00 90.00°
Atoms (fractional coordinates):
Si (0.000, 0.000, 0.000)
Si (0.000, 0.500, 0.500)
Si (0.500, 0.000, 0.500)
Si (0.500, 0.500, 0.000)
I (0.000, 0.000, 0.500)
I (0.000, 0.500, 0.000)
I (0.500, 0.000, 0.000)
I (0.500, 0.500, 0.500)
O (0.250, 0.250, 0.250)
O (0.250, 0.250, 0.750)
O (0.250, 0.750, 0.250)
O (0.250, 0.750, 0.750)
O (0.750, 0.250, 0.250)
O (0.750, 0.250, 0.750)
O (0.750, 0.750, 0.250)
O (0.750, 0.750, 0.750)

Record 12
Compound: Cs4HgBi2Sb2
Source: Alexandria
Functional: PBE
Structure: optimized geometry

Calculated values
As for the space group: C2/m, No. 12. The raw total energy comes out at -22.41 eV for the cell shown. The calculation puts the density of states at the Fermi level at 5.81 states/eV per cell.

Cell: 7.712 7.712 7.540 Å, 95.69 95.69 91.57°
Atoms (fractional coordinates):
Cs (0.070, 0.676, 0.750)
Cs (0.324, 0.930, 0.250)
Cs (0.676, 0.070, 0.750)
Cs (0.930, 0.324, 0.250)
Hg (0.500, 0.500, 0.500)
Bi (0.186, 0.186, 0.752)
Bi (0.814, 0.814, 0.248)
Sb (0.381, 0.381, 0.058)
Sb (0.619, 0.619, 0.942)